Entry 1:
! YOsNF2, optimized geometry, DFT PBE; values from VASP
&SYSTEM
  ibrav = 0, nat = 5, ntyp = 4
/
ATOMIC_SPECIES
Y 88.91 Y.upf
Os 190.23 Os.upf
N 14.01 N.upf
F 19.00 F.upf
CELL_PARAMETERS angstrom
4.1866 0.0000 0.0000
0.0000 4.1866 0.0000
0.0000 0.0000 4.9333
ATOMIC_POSITIONS crystal
Y 0.0000 0.0000 0.0000
Os 0.5000 0.5000 0.5000
N 0.0000 0.0000 0.5000
F 0.0000 0.5000 0.0000
F 0.5000 0.0000 0.0000
! **Symmetry**: No. 123
! **Total DFT energy (no corrections)**: -6.447 eV/atom
! **Spin magnetization**: 3.61 μB/f.u.

Entry 2:
! YOsNF2, optimized geometry, DFT PBE; values from VASP
&SYSTEM
  ibrav = 0, nat = 5, ntyp = 4
/
ATOMIC_SPECIES
Y 88.91 Y.upf
Os 190.23 Os.upf
N 14.01 N.upf
F 19.00 F.upf
CELL_PARAMETERS angstrom
4.5033 0.0000 0.0000
0.0000 4.5033 0.0000
0.0000 0.0000 3.7340
ATOMIC_POSITIONS crystal
Y 0.0000 0.0000 0.0000
Os 0.5000 0.5000 0.5000
N 0.5000 0.5000 0.0000
F 0.0000 0.5000 0.5000
F 0.5000 0.0000 0.5000
! **Symmetry**: No. 123
! **Total DFT energy (no corrections)**: -6.736 eV/atom
! **Spin magnetization**: 0.06 μB/f.u.

Entry 3:
! ZnOsNF2, optimized geometry, DFT PBE; values from VASP
&SYSTEM
  ibrav = 0, nat = 5, ntyp = 4
/
ATOMIC_SPECIES
Zn 65.41 Zn.upf
Os 190.23 Os.upf
N 14.01 N.upf
F 19.00 F.upf
CELL_PARAMETERS angstrom
4.2914 0.0000 0.0000
0.0000 4.2914 0.0000
0.0000 0.0000 3.7529
ATOMIC_POSITIONS crystal
Zn 0.0000 0.0000 0.0000
Os 0.5000 0.5000 0.5000
N 0.5000 0.5000 0.0000
F 0.0000 0.5000 0.5000
F 0.5000 0.0000 0.5000
! **Symmetry**: No. 123
! **Total DFT energy (no corrections)**: -5.129 eV/atom
! **Spin magnetization**: 0.30 μB/f.u.

Which value of spin magnetization does entry 3 give? 0.30 μB/f.u.